[1]
Here is crystalline Nb2CdWCl at its relaxed geometry from the Alexandria database. Energies are from GGA-PBE.

Lattice parameters (Å, degrees): 4.8595 5.4682 4.8595 90.00 90.00 90.00
With the nearest neighbours (Å) after each atom.
Fractional coordinates of all 5 atoms:
1 Nb 0.0000 0.0000 0.5000  2 W 2.43
2 Nb 0.5000 0.0000 0.0000  2 W 2.43
3 Cl 0.5000 0.5000 0.5000  4 Cd 3.44, 8 Nb 3.66
4 W 0.0000 0.0000 0.0000  4 Nb 2.43
5 Cd 0.0000 0.5000 0.0000  2 W 2.73

## Properties
Formation energy (no corrections): 1252 meV per atom
DFT total energy: -5.919 eV per atom
Spin magnetization: 0.00 μB per cell

=====

[2]
Here is crystalline Zr12Cu3Ir5 at its relaxed geometry from the Alexandria database. Energies are from GGA-PBE.

Lattice parameters (Å, degrees): 13.6027 13.6027 13.6027 109.47 109.47 109.47
With the nearest neighbours (Å) after each atom.
Fractional coordinates of all 80 atoms:
1 Cu 0.7500 0.3750 0.1250  8 Zr 2.88-2.94
2 Cu 0.8750 0.7500 0.1250  8 Zr 2.88-2.94
3 Cu 0.3750 0.7500 0.6250  8 Zr 2.88-2.94
4 Cu 0.2500 0.1250 0.3750  8 Zr 2.88-2.94
5 Cu 0.8750 0.1250 0.2500  8 Zr 2.88-2.94
6 Cu 0.3750 0.6250 0.2500  8 Zr 2.88-2.94
7 Cu 0.6250 0.3750 0.7500  8 Zr 2.88-2.94
8 Cu 0.1250 0.8750 0.7500  8 Zr 2.88-2.94
9 Cu 0.7500 0.8750 0.6250  8 Zr 2.88-2.94
10 Cu 0.6250 0.2500 0.3750  8 Zr 2.88-2.94
11 Cu 0.1250 0.2500 0.8750  8 Zr 2.88-2.94
12 Cu 0.2500 0.6250 0.8750  8 Zr 2.88-2.94
13 Ir 0.1250 0.3750 0.2500  4 Zr 2.54
14 Ir 0.0000 0.5000 0.0000  6 Zr 2.63
15 Ir 0.0000 0.0000 0.0000  6 Zr 2.63
16 Ir 0.3750 0.2500 0.1250  4 Zr 2.54
17 Ir 0.5000 0.0000 0.5000  6 Zr 2.63
18 Ir 0.5000 0.5000 0.0000  6 Zr 2.63
19 Ir 0.1250 0.7500 0.3750  4 Zr 2.54
20 Ir 0.7500 0.1250 0.8750  4 Zr 2.54
21 Ir 0.7500 0.6250 0.3750  4 Zr 2.54
22 Ir 0.3750 0.1250 0.7500  4 Zr 2.54
23 Ir 0.6250 0.8750 0.2500  4 Zr 2.54
24 Ir 0.5000 0.5000 0.5000  6 Zr 2.63
25 Ir 0.5000 0.0000 0.0000  6 Zr 2.63
26 Ir 0.0000 0.0000 0.5000  6 Zr 2.63
27 Ir 0.2500 0.3750 0.6250  4 Zr 2.54
28 Ir 0.2500 0.8750 0.1250  4 Zr 2.54
29 Ir 0.0000 0.5000 0.5000  6 Zr 2.63
30 Ir 0.8750 0.2500 0.6250  4 Zr 2.54
31 Ir 0.6250 0.7500 0.8750  4 Zr 2.54
32 Ir 0.8750 0.6250 0.7500  4 Zr 2.54
33 Zr 0.7208 0.1336 0.0517  2 Ir 2.54-2.63
34 Zr 0.3309 0.5517 0.4181  2 Ir 2.54-2.63
35 Zr 0.9483 0.3664 0.2792  2 Ir 2.54-2.63
36 Zr 0.5517 0.2208 0.1336  2 Ir 2.54-2.63
37 Zr 0.5872 0.7208 0.6691  2 Ir 2.54-2.63
38 Zr 0.9483 0.5819 0.1691  2 Ir 2.54-2.63
39 Zr 0.3309 0.7792 0.4128  2 Ir 2.54-2.63
40 Zr 0.0819 0.9128 0.1336  2 Ir 2.54-2.63
41 Zr 0.5819 0.9483 0.6691  2 Ir 2.54-2.63
42 Zr 0.7208 0.5872 0.1691  2 Ir 2.54-2.63
43 Zr 0.7792 0.4483 0.3664  2 Ir 2.54-2.63
44 Zr 0.8309 0.9181 0.0517  2 Ir 2.54-2.63
45 Zr 0.1336 0.7208 0.5517  2 Ir 2.54-2.63
46 Zr 0.3664 0.4181 0.0872  2 Ir 2.54-2.63
47 Zr 0.0872 0.9181 0.3664  2 Ir 2.54-2.63
48 Zr 0.4128 0.1336 0.5819  2 Ir 2.54-2.63
49 Zr 0.0872 0.1691 0.2208  2 Ir 2.54-2.63
50 Zr 0.4483 0.6691 0.0819  2 Ir 2.54-2.63
51 Zr 0.8309 0.9128 0.2792  2 Ir 2.54-2.63
52 Zr 0.1336 0.4128 0.0819  2 Ir 2.54-2.63
53 Zr 0.3664 0.9483 0.7792  2 Ir 2.54-2.63
54 Zr 0.5819 0.6336 0.4128  2 Ir 2.54-2.63
55 Zr 0.9181 0.8309 0.5517  2 Ir 2.54-2.63
56 Zr 0.7792 0.3309 0.9128  2 Ir 2.54-2.63
57 Zr 0.4181 0.3664 0.5872  2 Ir 2.54-2.63
58 Zr 0.0819 0.1691 0.4483  2 Ir 2.54-2.63
59 Zr 0.2208 0.6691 0.0872  2 Ir 2.54-2.63
60 Zr 0.1691 0.0872 0.7208  2 Ir 2.54-2.63
61 Zr 0.6336 0.0517 0.2208  2 Ir 2.54-2.63
62 Zr 0.8664 0.5872 0.9181  2 Ir 2.54-2.63
63 Zr 0.5517 0.3309 0.9181  2 Ir 2.54-2.63
64 Zr 0.5872 0.8664 0.4181  2 Ir 2.54-2.63
65 Zr 0.9128 0.8309 0.7792  2 Ir 2.54-2.63
66 Zr 0.9128 0.0819 0.6336  2 Ir 2.54-2.63
67 Zr 0.8664 0.2792 0.4483  2 Ir 2.54-2.63
68 Zr 0.1691 0.0819 0.9483  2 Ir 2.54-2.63
69 Zr 0.6336 0.5819 0.9128  2 Ir 2.54-2.63
70 Zr 0.4181 0.0517 0.3309  2 Ir 2.54-2.63
71 Zr 0.2792 0.4128 0.8309  2 Ir 2.54-2.63
72 Zr 0.2208 0.5517 0.6336  2 Ir 2.54-2.63
73 Zr 0.9181 0.0872 0.8664  2 Ir 2.54-2.63
74 Zr 0.6691 0.2208 0.5872  2 Ir 2.54-2.63
75 Zr 0.4483 0.7792 0.8664  2 Ir 2.54-2.63
76 Zr 0.0517 0.4181 0.8309  2 Ir 2.54-2.63
77 Zr 0.4128 0.2792 0.3309  2 Ir 2.54-2.63
78 Zr 0.0517 0.6336 0.7208  2 Ir 2.54-2.63
79 Zr 0.6691 0.4483 0.5819  2 Ir 2.54-2.63
80 Zr 0.2792 0.8664 0.9483  2 Ir 2.54-2.63

## Properties
Calculated formation energy: 17.9 kJ/mol of atoms
DFT total energy: -7.773 eV per atom
Spin magnetization: 0.02 μB per cell

=====

[3]
Here is crystalline SrScSe2Br at its relaxed geometry from the Alexandria database. Energies are from GGA-PBE.

Lattice parameters (Å, degrees): 5.2594 5.2594 5.1976 90.00 90.00 90.00
With the nearest neighbours (Å) after each atom.
Fractional coordinates of all 5 atoms:
1 Sc 0.0000 0.0000 0.0000  2 Br 2.60, 4 Se 2.63
2 Sr 0.5000 0.5000 0.5000  8 Se 3.70, 4 Br 3.72
3 Se 0.0000 0.5000 0.0000  2 Sc 2.63
4 Se 0.5000 0.0000 0.0000  2 Sc 2.63
5 Br 0.0000 0.0000 0.5000  2 Sc 2.60

## Properties
Formation energy (no corrections): -1615 meV per atom
DFT total energy: -4.947 eV per atom
E above lowest polymorph: 0.0000 eV/atom
Spin magnetization: 0.00 μB per cell

=====

[4]
Here is crystalline BiRuPb2O8 at its relaxed geometry from the Alexandria database. Energies are from GGA-PBE.

Lattice parameters (Å, degrees): 5.0448 4.9975 6.7999 90.00 90.00 90.20
With the nearest neighbours (Å) after each atom.
Fractional coordinates of all 12 atoms:
1 Bi 0.0000 0.0000 0.5000  6 O 2.22-2.30
2 Ru 0.0000 0.0000 0.0000  6 O 1.98-1.99
3 Pb 0.5000 0.5000 0.7593  6 O 2.21-2.27
4 Pb 0.5000 0.5000 0.2407  6 O 2.21-2.27
5 O 0.1695 0.8057 0.2206  1 Ru 1.98
6 O 0.7050 0.7349 0.0000  1 Ru 1.99
7 O 0.8305 0.1943 0.2206  1 Ru 1.98
8 O 0.8305 0.1943 0.7794  1 Ru 1.98
9 O 0.2950 0.2651 0.0000  1 Ru 1.99
10 O 0.1695 0.8057 0.7794  1 Ru 1.98
11 O 0.6776 0.6979 0.5000  2 Pb 2.21, 1 Bi 2.22
12 O 0.3224 0.3021 0.5000  2 Pb 2.21, 1 Bi 2.22

## Properties
Formation energy (no corrections): -906 meV per atom
DFT total energy: -5.926 eV per atom
Spin magnetization: 1.58 μB per cell

=====

[5]
Here is crystalline CsNdHgTe3 at its relaxed geometry from the Alexandria database. Energies are from GGA-PBE.

Lattice parameters (Å, degrees): 4.6509 10.1348 11.2876 110.01 90.00 90.00
With the nearest neighbours (Å) after each atom.
Fractional coordinates of all 12 atoms:
1 Cs 0.2500 0.2246 0.2557  7 Te 3.85-4.06
2 Cs 0.7500 0.7754 0.7443  7 Te 3.85-4.06
3 Nd 0.2500 0.6766 0.1354  6 Te 3.13-3.36
4 Nd 0.7500 0.3234 0.8646  6 Te 3.13-3.36
5 Hg 0.2500 0.0898 0.6211  4 Te 2.82-3.05
6 Hg 0.7500 0.9102 0.3789  4 Te 2.82-3.05
7 Te 0.7500 0.8946 0.1250  1 Hg 2.82
8 Te 0.2500 0.1054 0.8750  1 Hg 2.82
9 Te 0.2500 0.7817 0.4516  3 Hg 2.92-3.05
10 Te 0.7500 0.2183 0.5484  3 Hg 2.92-3.05
11 Te 0.7500 0.4726 0.1576  3 Nd 3.13-3.18
12 Te 0.2500 0.5274 0.8424  3 Nd 3.13-3.18

## Properties
Formation energy (no corrections): -991 meV per atom
DFT total energy: -3.549 eV per atom
Spin magnetization: 0.00 μB per cell